Ca2InAs2 | PBE | optimized geometry

Calculated values
symmetry	P4/mbm, No. 127
energy of formation	-789	meV per atom
energy above the most stable polymorph in this dataset	0	meV/atom
VASP energy	-3.9969	eV/atom

Lattice parameters (Å, degrees): 7.7132 7.7132 4.2229 90.00 90.00 90.00
Element x y z (fractional)
Ca: 0.6745 0.8255 0.5000
As: 0.3801 0.8801 0.0000
In: 0.5000 0.5000 0.0000
Ca: 0.3255 0.1745 0.5000
As: 0.8801 0.6199 0.0000
Ca: 0.1745 0.6745 0.5000
As: 0.6199 0.1199 0.0000
In: 0.0000 0.0000 0.0000
Ca: 0.8255 0.3255 0.5000
As: 0.1199 0.3801 0.0000

***

CaIn2As | PBE | optimized geometry

Calculated values
symmetry	P4/mmm, No. 123
energy of formation	-417	meV per atom
VASP energy	-3.4487	eV/atom

Lattice parameters (Å, degrees): 4.3639 4.3696 5.2866 90.00 90.00 90.00
Element x y z (fractional)
In: 0.0000 0.0000 0.0000
As: 0.5000 0.0000 0.5000
Ca: 0.0000 0.5000 0.5000
In: 0.5000 0.5000 0.0000

***

CaIn2As | PBE | optimized geometry

Calculated values
symmetry	P4/mmm, No. 123
energy of formation	-240	meV per atom
VASP energy	-3.2722	eV/atom

Lattice parameters (Å, degrees): 3.8358 3.8358 6.9750 90.00 90.00 90.00
Element x y z (fractional)
As: 0.5000 0.5000 0.2500
Ca: 0.5000 0.5000 0.7500
In: 0.0000 0.0000 0.4595
In: 0.0000 0.0000 0.0405

***

CaInAs | PBE | optimized geometry

Calculated values
symmetry	F-43m, No. 216
energy of formation	-321	meV per atom
VASP energy	-3.4509	eV/atom

Lattice parameters (Å, degrees): 4.9878 4.9878 4.9878 60.00 60.00 60.00
Element x y z (fractional)
In: 0.0000 0.0000 0.0000
Ca: 0.7500 0.7500 0.7500
As: 0.5000 0.5000 0.5000